Entry 1:
Material: BeAlRe2Pt
Method: DFT, GGA-PBE
State: relaxed

## Properties
ΔH_f (0 K), eV/atom: 1.6818
Density, g/cm3: 11.35
D(E_F), states/eV per cell: 4.70
Energy, eV per atom: -6.00

CIF file:
```
data_BeAlRe2Pt
_space_group_name_H-M_alt 'P 4/m m m'
_space_group_IT_number 123
_space_group_name_Hall '-P 4 2'
_cell_length_a 4.466
_cell_length_b 4.466
_cell_length_c 4.427
_cell_angle_alpha 90.00
_cell_angle_beta 90.00
_cell_angle_gamma 90.00
loop_
_atom_site_label
_atom_site_type_symbol
_atom_site_fract_x
_atom_site_fract_y
_atom_site_fract_z
Be1 Be 0.000 0.000 0.000
Al1 Al 0.500 0.500 0.500
Re1 Re 0.000 0.500 0.500
Pt1 Pt 0.500 0.500 0.000
```

---

Entry 2:
Material: Ti2CdGe
Method: DFT, GGA-PBE
State: relaxed

## Properties
ΔH_f (0 K), eV/atom: 0.0786
Density, g/cm3: 6.20
D(E_F), states/eV per cell: 18.68
Energy, eV per atom: -5.25

CIF file:
```
data_Ti2CdGe
_space_group_name_H-M_alt 'I -4 2 d'
_space_group_IT_number 122
_space_group_name_Hall 'I -4 2bw'
_cell_length_a 7.308
_cell_length_b 7.308
_cell_length_c 5.634
_cell_angle_alpha 90.00
_cell_angle_beta 90.00
_cell_angle_gamma 90.00
loop_
_atom_site_label
_atom_site_type_symbol
_atom_site_fract_x
_atom_site_fract_y
_atom_site_fract_z
Ti1 Ti 0.229 0.250 0.125
Cd1 Cd 0.000 0.000 0.500
Ge1 Ge 0.000 0.000 0.000
```

---

Entry 3:
Material: PaSiHRh
Method: DFT, GGA-PBE
State: relaxed

## Properties
Density, g/cm3: 10.25
D(E_F), states/eV per cell: 1.50
Energy, eV per atom: -7.17

CIF file:
```
data_PaSiHRh
_space_group_name_H-M_alt 'P 3 m 1'
_space_group_IT_number 156
_space_group_name_Hall 'P 3 -2"'
_cell_length_a 4.2732
_cell_length_b 4.2732
_cell_length_c 3.7184
_cell_angle_alpha 90.00
_cell_angle_beta 90.00
_cell_angle_gamma 120.00
loop_
_atom_site_label
_atom_site_type_symbol
_atom_site_fract_x
_atom_site_fract_y
_atom_site_fract_z
Pa1 Pa 0.0000 0.0000 0.0000
Si1 Si 0.3333 0.6667 0.5016
H1 H 0.6667 0.3333 0.9991
Rh1 Rh 0.6667 0.3333 0.4987
```